Density functional theory data (PBE) for crystalline Sm4MgHg2 at its relaxed geometry.

Values from the calculation:
Fermi-level density of states = 12.6 states/eV/f.u.
M_tot = 0.00 μB per cell
Formation energy = -0.6 eV per formula unit
Offset from the most stable computed form = 137 meV per atom
Crystal system = trigonal

abc: 5.3513 5.3513 26.6557
angles: 90.00 90.00 120.00
Space group R-3m (No. 166, hexagonal axes)
Unique sites:
Sm: 0.0000 0.0000 0.1264 x6
Sm: 0.0000 0.0000 0.2821 x6
Mg: 0.0000 0.0000 0.5000 x3
Hg: 0.0000 0.0000 0.3982 x6


Density functional theory data (PBE) for crystalline Sm4MgHg2 at its relaxed geometry.

Values from the calculation:
Fermi-level density of states = 8.6 states/eV/f.u.
M_tot = 2.41 μB per cell
Formation energy = -1.5 eV per formula unit
Offset from the most stable computed form = 0 meV per atom
Crystal system = trigonal

abc: 5.3090 5.3090 25.1092
angles: 90.00 90.00 120.00
Space group R-3m (No. 166, hexagonal axes)
Unique sites:
Sm: 0.0000 0.0000 0.1106 x6
Sm: 0.0000 0.0000 0.3660 x6
Mg: 0.0000 0.0000 0.5000 x3
Hg: 0.0000 0.0000 0.2385 x6